1.
This record from Alexandria describes CrPbI2O after structural relaxation. The functional is PBE+U.

abc: 5.939 5.939 3.818
angles: 90.00 90.00 90.00
Element x y z (fractional)
O (0.000, 0.000, 0.500)
Pb (0.500, 0.500, 0.500)
I (0.000, 0.500, 0.000)
I (0.500, 0.000, 0.000)
Cr (0.000, 0.000, 0.000)

## Properties
**Calculated total energy**: -22.1 eV per cell
**Relative energy among the computed polymorphs**: 0 meV per atom
**Crystal system**: tetragonal

2.
This record from Alexandria describes CrPbIO6 after structural relaxation. The functional is PBE+U.

abc: 5.248 5.248 5.445
angles: 90.02 90.01 59.99
Element x y z (fractional)
O (0.615, 0.370, 0.699)
Cr (0.667, 0.667, 0.500)
Pb (0.000, 0.000, 0.000)
O (0.015, 0.370, 0.301)
O (0.370, 0.615, 0.301)
I (0.333, 0.333, 0.500)
O (0.370, 0.015, 0.699)
O (0.015, 0.615, 0.699)
O (0.615, 0.015, 0.301)

## Properties
**Calculated total energy**: -51.7 eV per cell
**Crystal system**: trigonal

3.
This record from Alexandria describes CrPbI2O after structural relaxation. The functional is PBE+U.

abc: 6.198 6.198 4.193
angles: 90.00 90.00 90.00
Element x y z (fractional)
I (0.000, 0.500, 0.000)
Pb (0.000, 0.000, 0.000)
Cr (0.500, 0.500, 0.500)
I (0.500, 0.000, 0.000)
O (0.000, 0.000, 0.500)

## Properties
**Calculated total energy**: -19.7 eV per cell
**Relative energy among the computed polymorphs**: 481 meV per atom
**Crystal system**: tetragonal

4.
This record from Alexandria describes CrPdIO2 after structural relaxation. The functional is PBE+U.

abc: 3.749 3.749 7.304
angles: 90.00 90.00 90.00
Element x y z (fractional)
O (0.500, 0.000, 0.000)
Pd (0.500, 0.500, 0.500)
O (0.000, 0.500, 0.000)
I (0.000, 0.000, 0.500)
Cr (0.000, 0.000, 0.000)

## Properties
**Calculated total energy**: -26.7 eV per cell
**Relative energy among the computed polymorphs**: 0 meV per atom
**Crystal system**: tetragonal

5.
This record from Alexandria describes CrPdIO2 after structural relaxation. The functional is PBE+U.

abc: 3.942 3.942 7.083
angles: 90.00 90.00 90.00
Element x y z (fractional)
O (0.000, 0.500, 0.000)
Cr (0.500, 0.500, 0.500)
O (0.500, 0.000, 0.000)
I (0.000, 0.000, 0.500)
Pd (0.000, 0.000, 0.000)

## Properties
**Calculated total energy**: -23.7 eV per cell
**Relative energy among the computed polymorphs**: 601 meV per atom
**Crystal system**: tetragonal

6.
This record from Alexandria describes PmCr2IO8 after structural relaxation. The functional is PBE+U.

abc: 4.737 4.737 6.627
angles: 90.00 89.99 88.97
Element x y z (fractional)
O (0.194, 0.804, 0.210)
O (0.194, 0.804, 0.790)
Pm (0.000, 0.000, 0.500)
O (0.806, 0.196, 0.790)
Cr (0.500, 0.500, 0.748)
O (0.289, 0.287, 0.000)
I (0.000, 0.000, 0.000)
Cr (0.500, 0.500, 0.252)
O (0.331, 0.329, 0.500)
O (0.806, 0.196, 0.210)
O (0.669, 0.671, 0.500)
O (0.711, 0.713, 0.000)

## Properties
**Calculated total energy**: -78.9 eV per cell
**Crystal system**: monoclinic

The lowest calculated total energy belongs to which entry?
PmCr2IO8

Repeat the first record exactly.
This record from Alexandria describes CrPbI2O after structural relaxation. The functional is PBE+U.

abc: 5.939 5.939 3.818
angles: 90.00 90.00 90.00
Element x y z (fractional)
O (0.000, 0.000, 0.500)
Pb (0.500, 0.500, 0.500)
I (0.000, 0.500, 0.000)
I (0.500, 0.000, 0.000)
Cr (0.000, 0.000, 0.000)

## Properties
**Calculated total energy**: -22.1 eV per cell
**Relative energy among the computed polymorphs**: 0 meV per atom
**Crystal system**: tetragonal